Entry from Alexandria: a geometry-optimized AcPt12 structure (PBE-GGA).

Structure (CIF):
```
data_AcPt12
_chemical_formula_sum 'Ac2 Pt24'
_cell_length_a 9.168
_cell_length_b 9.168
_cell_length_c 5.434
_cell_angle_alpha 90.00
_cell_angle_beta 90.00
_cell_angle_gamma 90.00
_symmetry_space_group_name_H-M 'I 4/m m m'
_symmetry_Int_Tables_number 139
_symmetry_space_group_name_Hall '-I 4 2'
loop_
_atom_site_label
_atom_site_fract_x
_atom_site_fract_y
_atom_site_fract_z
Ac1 0.000 0.000 0.000
Pt1 0.000 0.222 0.500
Pt2 0.000 0.349 0.000
Pt3 0.250 0.250 0.250
```

***

Entry from Alexandria: a geometry-optimized AcPu2Pt4 structure (PBE-GGA).

Structure (CIF):
```
data_AcPu2Pt4
_chemical_formula_sum 'Ac2 Pu4 Pt8'
_cell_length_a 7.307
_cell_length_b 7.307
_cell_length_c 5.790
_cell_angle_alpha 90.00
_cell_angle_beta 90.00
_cell_angle_gamma 90.00
_symmetry_space_group_name_H-M 'I 4/m m m'
_symmetry_Int_Tables_number 139
_symmetry_space_group_name_Hall '-I 4 2'
loop_
_atom_site_label
_atom_site_fract_x
_atom_site_fract_y
_atom_site_fract_z
Ac1 0.000 0.000 0.000
Pu1 0.000 0.500 0.250
Pt1 0.195 0.195 0.500
```

***

Entry from Alexandria: a geometry-optimized AcPuPt2 structure (PBE-GGA).

Structure (CIF):
```
data_AcPuPt2
_chemical_formula_sum 'Ac3 Pu3 Pt6'
_cell_length_a 4.3228
_cell_length_b 4.3228
_cell_length_c 19.9108
_cell_angle_alpha 90.00
_cell_angle_beta 90.00
_cell_angle_gamma 120.00
_symmetry_space_group_name_H-M 'R -3 m'
_symmetry_Int_Tables_number 166
_symmetry_space_group_name_Hall '-R 3 2"'
loop_
_atom_site_label
_atom_site_fract_x
_atom_site_fract_y
_atom_site_fract_z
Ac1 0.0000 0.0000 0.0000
Pu1 0.0000 0.0000 0.5000
Pt1 0.0000 0.0000 0.2384
```

***

Entry from Alexandria: a geometry-optimized AcPuPt2 structure (PBE-GGA).

Structure (CIF):
```
data_AcPuPt2
_chemical_formula_sum 'Ac1 Pu1 Pt2'
_cell_length_a 3.673
_cell_length_b 3.673
_cell_length_c 7.197
_cell_angle_alpha 90.00
_cell_angle_beta 90.00
_cell_angle_gamma 90.00
_symmetry_space_group_name_H-M 'P 4/m m m'
_symmetry_Int_Tables_number 123
_symmetry_space_group_name_Hall '-P 4 2'
loop_
_atom_site_label
_atom_site_fract_x
_atom_site_fract_y
_atom_site_fract_z
Ac1 0.000 0.000 0.000
Pu1 0.000 0.000 0.500
Pt1 0.500 0.500 0.279
```

***

Entry from Alexandria: a geometry-optimized AcPuPt2 structure (PBE-GGA).

Structure (CIF):
```
data_AcPuPt2
_chemical_formula_sum 'Ac3 Pu3 Pt6'
_cell_length_a 4.2058
_cell_length_b 4.2058
_cell_length_c 21.3228
_cell_angle_alpha 90.00
_cell_angle_beta 90.00
_cell_angle_gamma 120.00
_symmetry_space_group_name_H-M 'R 3 m'
_symmetry_Int_Tables_number 160
_symmetry_space_group_name_Hall 'R 3 -2"'
loop_
_atom_site_label
_atom_site_fract_x
_atom_site_fract_y
_atom_site_fract_z
Ac1 0.0000 0.0000 0.0000
Pu1 0.0000 0.0000 0.8276
Pt1 0.0000 0.0000 0.2355
Pt2 0.0000 0.0000 0.4227
```

***

Entry from Alexandria: a geometry-optimized AcPuPt10 structure (PBE-GGA).

Structure (CIF):
```
data_AcPuPt10
_chemical_formula_sum 'Ac1 Pu1 Pt10'
_cell_length_a 4.431
_cell_length_b 5.461
_cell_length_c 9.448
_cell_angle_alpha 90.00
_cell_angle_beta 90.00
_cell_angle_gamma 90.00
_symmetry_space_group_name_H-M 'P m m m'
_symmetry_Int_Tables_number 47
_symmetry_space_group_name_Hall '-P 2 2'
loop_
_atom_site_label
_atom_site_fract_x
_atom_site_fract_y
_atom_site_fract_z
Ac1 0.000 0.000 0.000
Pu1 0.000 0.500 0.500
Pt1 0.000 0.000 0.339
Pt2 0.000 0.500 0.175
Pt3 0.500 0.000 0.500
Pt4 0.500 0.252 0.254
Pt5 0.500 0.500 0.000
```

***

| no. | E_form (eV/f.u.) |
| --- | --- |
| 1 | -3.7 |
| 2 | -5.6 |
| 3 | -3.7 |
| 4 | -3.3 |
| 5 | -3.3 |
| 6 | -7.8 |